1.
DFT (PBEsol) results for a geometry-optimized ScSiS2Cl structure.

As for the calculated density: 3.1 Mg/m³. The calculated total energy is -5.140 eV per atom. The density of states at the Fermi level is 0.6777 states/eV/atom.

Structure (CIF):
```
data_ScSiS2Cl
_cell_length_a 4.590
_cell_length_b 4.590
_cell_length_c 4.452
_cell_angle_alpha 90.00
_cell_angle_beta 90.00
_cell_angle_gamma 90.00
_symmetry_space_group_name_H-M 'P 4/m m m'
_symmetry_Int_Tables_number 123
_symmetry_space_group_name_Hall '-P 4 2'
loop_
_atom_site_label
_atom_site_type_symbol
_atom_site_fract_x
_atom_site_fract_y
_atom_site_fract_z
Sc1 Sc 0.000 0.000 0.000
Si1 Si 0.500 0.500 0.500
S1 S 0.000 0.500 0.500
Cl1 Cl 0.500 0.500 0.000
```


2.
DFT (PBEsol) results for a geometry-optimized ScTaSCl2 structure.

As for the calculated density: 5.1 Mg/m³. The calculated total energy is -5.867 eV per atom. The density of states at the Fermi level is 1.1129 states/eV/atom.

Structure (CIF):
```
data_ScTaSCl2
_cell_length_a 4.738
_cell_length_b 4.738
_cell_length_c 4.780
_cell_angle_alpha 90.00
_cell_angle_beta 90.00
_cell_angle_gamma 90.00
_symmetry_space_group_name_H-M 'P 4/m m m'
_symmetry_Int_Tables_number 123
_symmetry_space_group_name_Hall '-P 4 2'
loop_
_atom_site_label
_atom_site_type_symbol
_atom_site_fract_x
_atom_site_fract_y
_atom_site_fract_z
Sc1 Sc 0.000 0.000 0.000
Ta1 Ta 0.500 0.500 0.500
S1 S 0.500 0.500 0.000
Cl1 Cl 0.000 0.500 0.500
```


3.
DFT (PBEsol) results for a geometry-optimized ScTaS2Cl structure.

As for the calculated density: 5.1 Mg/m³. The calculated total energy is -6.524 eV per atom. The density of states at the Fermi level is 1.0765 states/eV/atom.

Structure (CIF):
```
data_ScTaS2Cl
_cell_length_a 4.737
_cell_length_b 4.737
_cell_length_c 4.709
_cell_angle_alpha 90.00
_cell_angle_beta 90.00
_cell_angle_gamma 90.00
_symmetry_space_group_name_H-M 'P 4/m m m'
_symmetry_Int_Tables_number 123
_symmetry_space_group_name_Hall '-P 4 2'
loop_
_atom_site_label
_atom_site_type_symbol
_atom_site_fract_x
_atom_site_fract_y
_atom_site_fract_z
Sc1 Sc 0.000 0.000 0.000
Ta1 Ta 0.500 0.500 0.500
S1 S 0.000 0.500 0.500
Cl1 Cl 0.500 0.500 0.000
```


4.
DFT (PBEsol) results for a geometry-optimized ScTeSCl2 structure.

As for the calculated density: 3.8 Mg/m³. The calculated total energy is -4.605 eV per atom. The density of states at the Fermi level is 0.5933 states/eV/atom.

Structure (CIF):
```
data_ScTeSCl2
_cell_length_a 4.769
_cell_length_b 4.769
_cell_length_c 5.241
_cell_angle_alpha 90.00
_cell_angle_beta 90.00
_cell_angle_gamma 90.00
_symmetry_space_group_name_H-M 'P 4/m m m'
_symmetry_Int_Tables_number 123
_symmetry_space_group_name_Hall '-P 4 2'
loop_
_atom_site_label
_atom_site_type_symbol
_atom_site_fract_x
_atom_site_fract_y
_atom_site_fract_z
Sc1 Sc 0.000 0.000 0.000
Te1 Te 0.500 0.500 0.500
S1 S 0.000 0.000 0.500
Cl1 Cl 0.000 0.500 0.000
```


5.
DFT (PBEsol) results for a geometry-optimized ScTlSCl2 structure.

As for the calculated density: 4.2 Mg/m³. The calculated total energy is -3.704 eV per atom. The density of states at the Fermi level is 1.1719 states/eV/atom.

Structure (CIF):
```
data_ScTlSCl2
_cell_length_a 5.242
_cell_length_b 5.242
_cell_length_c 5.096
_cell_angle_alpha 90.00
_cell_angle_beta 90.00
_cell_angle_gamma 90.00
_symmetry_space_group_name_H-M 'P 4/m m m'
_symmetry_Int_Tables_number 123
_symmetry_space_group_name_Hall '-P 4 2'
loop_
_atom_site_label
_atom_site_type_symbol
_atom_site_fract_x
_atom_site_fract_y
_atom_site_fract_z
Sc1 Sc 0.000 0.000 0.000
Tl1 Tl 0.500 0.500 0.500
S1 S 0.500 0.500 0.000
Cl1 Cl 0.000 0.500 0.500
```


6.
DFT (PBEsol) results for a geometry-optimized ScWSCl2 structure.

As for the calculated density: 5.3 Mg/m³. The calculated total energy is -5.768 eV per atom. The density of states at the Fermi level is 1.2311 states/eV/atom.

Structure (CIF):
```
data_ScWSCl2
_cell_length_a 4.737
_cell_length_b 4.737
_cell_length_c 4.610
_cell_angle_alpha 90.00
_cell_angle_beta 90.00
_cell_angle_gamma 90.00
_symmetry_space_group_name_H-M 'P 4/m m m'
_symmetry_Int_Tables_number 123
_symmetry_space_group_name_Hall '-P 4 2'
loop_
_atom_site_label
_atom_site_type_symbol
_atom_site_fract_x
_atom_site_fract_y
_atom_site_fract_z
Sc1 Sc 0.000 0.000 0.000
W1 W 0.500 0.500 0.500
S1 S 0.500 0.500 0.000
Cl1 Cl 0.000 0.500 0.500
```


7.
DFT (PBEsol) results for a geometry-optimized ZrScS2Cl structure.

As for the calculated density: 3.6 Mg/m³. The calculated total energy is -6.093 eV per atom. The density of states at the Fermi level is 0.9298 states/eV/atom.

Structure (CIF):
```
data_ZrScS2Cl
_cell_length_a 4.843
_cell_length_b 4.843
_cell_length_c 4.634
_cell_angle_alpha 90.00
_cell_angle_beta 90.00
_cell_angle_gamma 90.00
_symmetry_space_group_name_H-M 'P 4/m m m'
_symmetry_Int_Tables_number 123
_symmetry_space_group_name_Hall '-P 4 2'
loop_
_atom_site_label
_atom_site_type_symbol
_atom_site_fract_x
_atom_site_fract_y
_atom_site_fract_z
Zr1 Zr 0.000 0.000 0.000
Sc1 Sc 0.500 0.500 0.500
S1 S 0.000 0.500 0.500
Cl1 Cl 0.500 0.500 0.000
```


8.
DFT (PBEsol) results for a geometry-optimized SrSeSCl2 structure.

As for the calculated density: 2.5 Mg/m³. The calculated total energy is -3.135 eV per atom. The density of states at the Fermi level is 0.8687 states/eV/atom.

Structure (CIF):
```
data_SrSeSCl2
_cell_length_a 5.509
_cell_length_b 5.509
_cell_length_c 5.833
_cell_angle_alpha 90.00
_cell_angle_beta 90.00
_cell_angle_gamma 90.00
_symmetry_space_group_name_H-M 'P 4/m m m'
_symmetry_Int_Tables_number 123
_symmetry_space_group_name_Hall '-P 4 2'
loop_
_atom_site_label
_atom_site_type_symbol
_atom_site_fract_x
_atom_site_fract_y
_atom_site_fract_z
Sr1 Sr 0.000 0.000 0.000
Se1 Se 0.500 0.500 0.500
S1 S 0.000 0.000 0.500
Cl1 Cl 0.000 0.500 0.000
```


9.
DFT (PBEsol) results for a geometry-optimized TiSeS2Cl structure.

As for the calculated density: 3.7 Mg/m³. The calculated total energy is -4.897 eV per atom. The density of states at the Fermi level is 0.9917 states/eV/atom.

Structure (CIF):
```
data_TiSeS2Cl
_cell_length_a 4.703
_cell_length_b 4.703
_cell_length_c 4.547
_cell_angle_alpha 90.00
_cell_angle_beta 90.00
_cell_angle_gamma 90.00
_symmetry_space_group_name_H-M 'P 4/m m m'
_symmetry_Int_Tables_number 123
_symmetry_space_group_name_Hall '-P 4 2'
loop_
_atom_site_label
_atom_site_type_symbol
_atom_site_fract_x
_atom_site_fract_y
_atom_site_fract_z
Ti1 Ti 0.000 0.000 0.000
Se1 Se 0.500 0.500 0.500
S1 S 0.000 0.500 0.000
Cl1 Cl 0.000 0.000 0.500
```


10.
DFT (PBEsol) results for a geometry-optimized TlSeS2Cl structure.

As for the calculated density: 5.4 Mg/m³. The calculated total energy is -3.440 eV per atom. The density of states at the Fermi level is 0.3370 states/eV/atom.

Structure (CIF):
```
data_TlSeS2Cl
_cell_length_a 4.803
_cell_length_b 4.803
_cell_length_c 5.086
_cell_angle_alpha 90.00
_cell_angle_beta 90.00
_cell_angle_gamma 90.00
_symmetry_space_group_name_H-M 'P 4/m m m'
_symmetry_Int_Tables_number 123
_symmetry_space_group_name_Hall '-P 4 2'
loop_
_atom_site_label
_atom_site_type_symbol
_atom_site_fract_x
_atom_site_fract_y
_atom_site_fract_z
Tl1 Tl 0.000 0.000 0.000
Se1 Se 0.500 0.500 0.500
S1 S 0.000 0.500 0.500
Cl1 Cl 0.500 0.500 0.000
```


11.
DFT (PBEsol) results for a geometry-optimized SiSCl2 structure.

As for the calculated density: 2.9 Mg/m³. The calculated total energy is -3.012 eV per atom. The density of states at the Fermi level is 0.6069 states/eV/atom.

Structure (CIF):
```
data_SiSCl2
_cell_length_a 6.661
_cell_length_b 6.661
_cell_length_c 6.661
_cell_angle_alpha 90.00
_cell_angle_beta 90.00
_cell_angle_gamma 90.00
_symmetry_space_group_name_H-M 'F m -3 m'
_symmetry_Int_Tables_number 225
_symmetry_space_group_name_Hall '-F 4 2 3'
loop_
_atom_site_label
_atom_site_type_symbol
_atom_site_fract_x
_atom_site_fract_y
_atom_site_fract_z
Si1 Si 0.000 0.000 0.000
S1 S 0.000 0.000 0.500
Cl1 Cl 0.250 0.250 0.250
```


12.
DFT (PBEsol) results for a geometry-optimized SiSnS2Cl structure.

As for the calculated density: 4.1 Mg/m³. The calculated total energy is -4.440 eV per atom. The density of states at the Fermi level is 0.3351 states/eV/atom.

Structure (CIF):
```
data_SiSnS2Cl
_cell_length_a 4.640
_cell_length_b 4.640
_cell_length_c 4.618
_cell_angle_alpha 90.00
_cell_angle_beta 90.00
_cell_angle_gamma 90.00
_symmetry_space_group_name_H-M 'P 4/m m m'
_symmetry_Int_Tables_number 123
_symmetry_space_group_name_Hall '-P 4 2'
loop_
_atom_site_label
_atom_site_type_symbol
_atom_site_fract_x
_atom_site_fract_y
_atom_site_fract_z
Si1 Si 0.000 0.000 0.000
Sn1 Sn 0.500 0.500 0.500
S1 S 0.000 0.500 0.000
Cl1 Cl 0.000 0.000 0.500
```